# 1
# GGA-PBE ZnCd2Cl, relaxed
# Calculated total energy: -1.394 eV per atom
# ΔE to the lowest computed polymorph: 90 meV/atom
# E_form (uncorrected): -0.157 eV per atom
data_ZnCd2Cl
_chemical_formula_sum 'Zn2 Cd4 Cl2'
_symmetry_space_group_name_H-M 'C m m m'
_symmetry_Int_Tables_number 65
_symmetry_space_group_name_Hall '-C 2 2'
_cell_length_a 6.0867
_cell_length_b 8.3587
_cell_length_c 3.9471
_cell_angle_alpha 90.00
_cell_angle_beta 90.00
_cell_angle_gamma 90.00
loop_
_atom_site_label
_atom_site_type_symbol
_atom_site_fract_x
_atom_site_fract_y
_atom_site_fract_z
_atom_site_occupancy
Zn1 Zn 0.0000 0.0000 0.0000 1
Cd1 Cd 0.0000 0.2387 0.5000 1
Cl1 Cl 0.0000 0.5000 0.0000 1


# 2
# GGA-PBE Rb2AuSeBr6, relaxed
# Calculated total energy: -2.651 eV per atom
# E_form (uncorrected): -0.777 eV per atom
data_Rb2AuSeBr6
_chemical_formula_sum 'Rb4 Au2 Se2 Br12'
_symmetry_space_group_name_H-M 'I 4/m m m'
_symmetry_Int_Tables_number 139
_symmetry_space_group_name_Hall '-I 4 2'
_cell_length_a 7.7729
_cell_length_b 7.7729
_cell_length_c 11.2515
_cell_angle_alpha 90.00
_cell_angle_beta 90.00
_cell_angle_gamma 90.00
loop_
_atom_site_label
_atom_site_type_symbol
_atom_site_fract_x
_atom_site_fract_y
_atom_site_fract_z
_atom_site_occupancy
Rb1 Rb 0.0000 0.5000 0.2500 1
Au1 Au 0.0000 0.0000 0.0000 1
Se1 Se 0.0000 0.0000 0.5000 1
Br1 Br 0.0000 0.0000 0.2260 1
Br2 Br 0.2403 0.2403 0.5000 1


# 3
# GGA-PBE SrAs2P, relaxed
# Calculated total energy: -4.259 eV per atom
data_SrAs2P
_chemical_formula_sum 'Sr3 As6 P3'
_symmetry_space_group_name_H-M 'R -3 m'
_symmetry_Int_Tables_number 166
_symmetry_space_group_name_Hall '-R 3 2"'
_cell_length_a 3.8162
_cell_length_b 3.8162
_cell_length_c 22.3632
_cell_angle_alpha 90.00
_cell_angle_beta 90.00
_cell_angle_gamma 120.00
loop_
_atom_site_label
_atom_site_type_symbol
_atom_site_fract_x
_atom_site_fract_y
_atom_site_fract_z
_atom_site_occupancy
Sr1 Sr 0.0000 0.0000 0.0000 1
As1 As 0.0000 0.0000 0.2311 1
P1 P 0.0000 0.0000 0.5000 1